(1)
Gd2TmIn: relaxed, GGA-PBE.

Cell: 3.4943 3.4943 36.1741 Å, 90.00 90.00 120.00°
Space group R-3m (No. 166, hexagonal axes)
Unique sites:
1 Gd 0.0000 0.0000 0.0888
2 Tm 0.0000 0.0000 0.5000
3 In 0.0000 0.0000 0.0000

Properties
- Total moment: 44.38 μB/cell
- DOS at the Fermi energy: 12.35 states/eV per cell
- ΔE to the lowest computed polymorph: 382 meV per atom
- Formation energy from the elements: 0.094 eV per atom

***

(2)
GdYTmIn: relaxed, GGA-PBE.

Cell: 7.683 7.683 7.683 Å, 90.00 90.00 90.00°
Space group F-43m (No. 216)
Unique sites:
1 Gd 0.000 0.000 0.000
2 Y 0.250 0.250 0.750
3 Tm 0.250 0.250 0.250
4 In 0.000 0.000 0.500

Properties
- Total moment: 33.73 μB/cell
- DOS at the Fermi energy: 28.43 states/eV per cell
- Formation energy from the elements: -0.138 eV per atom

***

(3)
GdY2In: relaxed, GGA-PBE.

Cell: 3.5270 3.5270 36.1906 Å, 90.00 90.00 120.00°
Space group R-3m (No. 166, hexagonal axes)
Unique sites:
1 Gd 0.0000 0.0000 0.0000
2 Y 0.0000 0.0000 0.4123
3 In 0.0000 0.0000 0.5000

Properties
- Total moment: 20.92 μB/cell
- DOS at the Fermi energy: 16.05 states/eV per cell
- ΔE to the lowest computed polymorph: 394 meV per atom
- Formation energy from the elements: 0.106 eV per atom

***

(4)
GdY2In: relaxed, GGA-PBE.

Cell: 3.611 3.611 9.167 Å, 90.00 90.00 90.00°
Space group P4/mmm (No. 123)
Unique sites:
1 Gd 0.000 0.000 0.000
2 Y 0.500 0.500 0.276
3 In 0.000 0.000 0.500

Properties
- Total moment: 7.46 μB/cell
- DOS at the Fermi energy: 4.52 states/eV per cell
- ΔE to the lowest computed polymorph: 46 meV per atom
- Formation energy from the elements: -0.242 eV per atom

***

(5)
Gd2YIn: relaxed, GGA-PBE.

Cell: 4.841 4.841 4.934 Å, 90.00 90.00 90.00°
Space group P4/mmm (No. 123)
Unique sites:
1 Gd 0.000 0.500 0.000
2 Y 0.000 0.000 0.500
3 In 0.500 0.500 0.500

Properties
- Total moment: 15.56 μB/cell
- DOS at the Fermi energy: 3.40 states/eV per cell
- ΔE to the lowest computed polymorph: 0 meV per atom
- Formation energy from the elements: -0.299 eV per atom

***

(6)
GdY2In: relaxed, GGA-PBE.

Cell: 4.895 4.895 4.819 Å, 90.00 90.00 90.00°
Space group P4/mmm (No. 123)
Unique sites:
1 Gd 0.000 0.000 0.000
2 Y 0.000 0.500 0.500
3 In 0.500 0.500 0.000

Properties
- Total moment: 8.18 μB/cell
- DOS at the Fermi energy: 4.14 states/eV per cell
- ΔE to the lowest computed polymorph: 0 meV per atom
- Formation energy from the elements: -0.289 eV per atom

***

(7)
Gd2YIn: relaxed, GGA-PBE.

Cell: 7.760 7.760 7.760 Å, 90.00 90.00 90.00°
Space group Fm-3m (No. 225)
Unique sites:
1 Gd 0.250 0.250 0.250
2 Y 0.000 0.000 0.000
3 In 0.000 0.000 0.500

Properties
- Total moment: 62.92 μB/cell
- DOS at the Fermi energy: 18.55 states/eV per cell
- ΔE to the lowest computed polymorph: 144 meV per atom
- Formation energy from the elements: -0.155 eV per atom

***

(8)
GdYIn: relaxed, GGA-PBE.

Cell: 3.342 3.342 17.363 Å, 90.00 90.00 90.00°
Space group I4mm (No. 107)
Unique sites:
1 Gd 0.000 0.000 0.000
2 Y 0.000 0.000 0.194
3 In 0.000 0.000 0.822

Properties
- Total moment: 15.52 μB/cell
- DOS at the Fermi energy: 8.91 states/eV per cell
- ΔE to the lowest computed polymorph: 470 meV per atom
- Formation energy from the elements: 0.225 eV per atom